VASP calculation (GGA-PBE) on a geometry-optimized Rb2Co2Sb structure.

```
Rb2Co2Sb
1.0
-2.367 2.367 6.736
2.367 -2.367 6.736
2.367 2.367 -6.736
Rb Co Sb
2 2 1
Direct
0.250 0.750 0.500
0.750 0.250 0.500
0.074 0.074 0.000
0.926 0.926 0.000
0.500 0.500 0.000
```

Output
* total magnetization: 5.1 μB per formula unit
* formation energy without anion corrections: 1.1369 eV per atom
* excess energy over the best structure of this formula in the dataset: 669 meV per atom

***

VASP calculation (GGA-PBE) on a geometry-optimized RbCo2Sb structure.

```
RbCo2Sb
1.0
-2.536 2.536 8.649
2.536 -2.536 8.649
2.536 2.536 -8.649
Rb Co Sb
2 4 2
Direct
0.375 0.625 0.750
0.625 0.375 0.250
0.000 0.000 0.000
0.000 0.000 0.500
0.000 0.500 0.000
0.500 0.000 0.500
0.125 0.875 0.250
0.875 0.125 0.750
```

Output
* total magnetization: 3.3 μB per formula unit
* formation energy without anion corrections: 0.5384 eV per atom